No. 1
DFT (GGA-PBE) results for a relaxed structure of Ce2TeP.

Distance to the lowest polymorph of the same formula = 77 meV/atom
E = -51.9 eV for the cell shown
M_tot = 0.48 μB/atom
ΔE_f (raw) = -1389 meV/atom

```
Ce2TeP
1.0
-3.053 3.053 6.057
3.053 -3.053 6.057
3.053 3.053 -6.057
Ce Te P
4 2 2
Cartesian
3.053 1.527 -1.687
0.000 1.527 1.341
3.053 1.527 4.716
0.000 1.527 7.744
3.053 1.527 1.514
0.000 1.527 4.543
3.053 -1.527 4.543
0.000 4.580 1.514
```

***

No. 2
DFT (GGA-PBE) results for a relaxed structure of Zr2CoAs.

E = -31.8 eV for the cell shown
M_tot = 0.12 μB/atom
ΔE_f = -3.0 eV/f.u.

```
Zr2CoAs
1.0
3.822 0.000 0.000
0.000 1.848 5.027
0.000 -1.848 5.027
Zr Co As
2 1 1
Cartesian
0.000 0.000 0.000
1.911 0.000 2.933
0.000 0.000 7.354
1.911 0.000 5.780
```

***

No. 3
DFT (GGA-PBE) results for a relaxed structure of ScCoAg2.

E = -36.4 eV for the cell shown
M_tot = 0.00 μB/atom
ΔE_f = 0.9 eV/f.u.

```
ScCoAg2
1.0
-1.889 1.889 9.948
1.889 -1.889 9.948
1.889 1.889 -9.948
Sc Co Ag
2 2 4
Cartesian
0.000 0.000 0.000
0.000 1.889 4.974
1.889 0.000 4.974
0.000 0.000 9.948
0.945 -0.907 7.461
0.982 0.945 2.487
0.945 2.796 -2.487
0.907 0.945 12.435
```

***

No. 4
DFT (GGA-PBE) results for a relaxed structure of Tb4Tm2MgSc.

E = -35.2 eV for the cell shown
M_tot = 0.00 μB/atom
ΔE_f = 0.2 eV/f.u.

```
Tb4Tm2MgSc
1.0
4.952 0.000 0.000
0.000 4.952 0.000
0.000 0.000 9.589
Tb Tm Mg Sc
4 2 1 1
Cartesian
0.000 2.476 2.375
0.000 2.476 7.213
2.476 0.000 2.375
2.476 0.000 7.213
0.000 0.000 0.000
2.476 2.476 4.794
0.000 0.000 4.794
2.476 2.476 0.000
```